Entry from Alexandria via LeMat-Bulk: a relaxed structure of PmUPd2 (GGA-PBE).

**Final energy**: -6.99 eV per atom
**Crystal system**: tetragonal
**N(E_F)**: 7.52 states/eV per cell
**Symmetry**: P4/mmm (123)
**Calculated formation energy**: -1.5 eV/f.u.

a b c (Å): 3.417 3.417 7.600
angles (deg): 90.00 90.00 90.00
Element x y z (fractional)
Pm1 0.000 0.000 0.000
U1 0.000 0.000 0.500
Pd1 0.500 0.500 0.266
Pd2 0.500 0.500 0.734